{"formula": "LaAl2ZnRe", "functional": "PBE", "state": "optimized geometry", "lattice": [[5.7854, 0.0000, 0.0000], [0.0000, 4.8233, 0.0000], [0.0000, 0.0000, 5.7854]], "species": ["Re", "Zn", "Al", "Al", "La"], "frac_coords": [[0.0000, 0.5000, 0.0000], [0.5000, 0.5000, 0.5000], [0.0000, 0.0000, 0.5000], [0.5000, 0.0000, 0.0000], [0.0000, 0.0000, 0.0000]], "e_form_ev_per_fu": 9.18, "spacegroup": "No. 123", "m_tot_mub_per_fu": 0.29}

{"formula": "PIrAu2", "functional": "PBE", "state": "optimized geometry", "lattice": [[5.0243, 0.0000, 0.0000], [0.0000, 3.0699, -0.2301], [0.0000, 0.4486, 4.3103]], "species": ["Au", "Au", "Ir", "P"], "frac_coords": [[0.0000, 0.9964, 0.9993], [0.0000, 0.5036, 0.5007], [0.5000, 0.2500, 0.2500], [0.5000, 0.7500, 0.7500]], "e_form_ev_per_fu": 1.77, "spacegroup": "No. 10", "m_tot_mub_per_fu": 0.00}

- What is the formula in the first record?
  LaAl2ZnRe